1.
Below is a relaxed structure of SiOsPdRu2, with properties calculated at the PBE level.

a b c (Å): 4.6712 4.6712 4.5195
angles (deg): 90.00 90.00 90.00
Element x y z (fractional)
Si: 0.0000 0.0000 0.0000
Os: 0.0000 0.0000 0.5000
Pd: 0.5000 0.5000 0.0000
Ru: 0.0000 0.5000 0.5000
Ru: 0.5000 0.0000 0.5000

Summary:
As for the space group: No. 123. As for the uncorrected formation energy: 1373.8 meV per atom. For the volume, the calculation gives 98.62 Å³ per cell.


2.
Below is a relaxed structure of TlIn2P, with properties calculated at the PBE level.

a b c (Å): 5.9676 5.9676 3.2937
angles (deg): 100.61 100.61 114.74
Element x y z (fractional)
Tl: 0.0000 0.0000 0.0000
In: 0.0000 0.5000 0.5000
In: 0.5000 0.0000 0.5000
P: 0.5000 0.5000 0.0000

Summary:
As for the space group: No. 12. As for the formation energy: 0.2917 eV per atom. For the volume, the calculation gives 100.13 Å³ per cell.


3.
Below is a relaxed structure of NdHo2Fe, with properties calculated at the PBE level.

a b c (Å): 3.3616 3.3616 9.0956
angles (deg): 90.00 90.00 90.00
Element x y z (fractional)
Nd: 0.0000 0.0000 0.0000
Ho: 0.5000 0.5000 0.3248
Ho: 0.5000 0.5000 0.6752
Fe: 0.0000 0.0000 0.5000

Summary:
As for the space group: No. 123. As for the formation energy: 0.0623 eV per atom. For the volume, the calculation gives 102.79 Å³ per cell.


4.
Below is a relaxed structure of Sr8MgGa2, with properties calculated at the PBE level.

a b c (Å): 9.1263 9.1263 6.3095
angles (deg): 98.29 98.29 112.03
Element x y z (fractional)
Sr: 0.0000 0.0000 0.0000
Sr: 0.0497 0.3136 0.6173
Sr: 0.1344 0.6202 0.2021
Sr: 0.3136 0.0497 0.6173
Sr: 0.4409 0.7046 0.7869
Sr: 0.6202 0.1344 0.2021
Sr: 0.7046 0.4409 0.7869
Sr: 0.7553 0.7553 0.4046
Mg: 0.3778 0.3778 0.2036
Ga: 0.0594 0.6948 0.7022
Ga: 0.6948 0.0594 0.7022

Summary:
As for the space group: No. 8. As for the formation energy: -0.1170 eV per atom. For the volume, the calculation gives 470.67 Å³ per cell.


5.
Below is a relaxed structure of Ca2InAs3Rh4, with properties calculated at the PBE level.

a b c (Å): 4.1717 4.1717 10.8487
angles (deg): 90.00 90.00 90.00
Element x y z (fractional)
Ca: 0.0000 0.5000 0.2426
Ca: 0.5000 0.0000 0.7574
In: 0.0000 0.0000 0.5000
As: 0.0000 0.5000 0.8709
As: 0.5000 0.0000 0.1291
As: 0.5000 0.5000 0.5000
Rh: 0.0000 0.0000 0.0000
Rh: 0.0000 0.5000 0.6503
Rh: 0.5000 0.0000 0.3497
Rh: 0.5000 0.5000 0.0000

Summary:
As for the space group: No. 115. As for the formation energy: -0.7018 eV per atom. For the volume, the calculation gives 188.80 Å³ per cell.


6.
Below is a relaxed structure of Dy6ErTe8, with properties calculated at the PBE level.

a b c (Å): 8.6692 8.6692 8.6692
angles (deg): 60.00 60.00 60.00
Element x y z (fractional)
Dy: 0.0000 0.0000 0.5000
Dy: 0.0000 0.5000 0.0000
Dy: 0.0000 0.5000 0.5000
Dy: 0.5000 0.0000 0.0000
Dy: 0.5000 0.0000 0.5000
Dy: 0.5000 0.5000 0.0000
Er: 0.0000 0.0000 0.0000
Te: 0.2500 0.2500 0.2500
Te: 0.2542 0.2542 0.7458
Te: 0.2542 0.7458 0.2542
Te: 0.2542 0.7458 0.7458
Te: 0.7458 0.2542 0.2542
Te: 0.7458 0.2542 0.7458
Te: 0.7458 0.7458 0.2542
Te: 0.7500 0.7500 0.7500

Summary:
As for the space group: No. 225. As for the uncorrected formation energy: -1355.4 meV per atom. For the volume, the calculation gives 460.71 Å³ per cell.


7.
Below is a relaxed structure of NbNi4Pt, with properties calculated at the PBE level.

a b c (Å): 4.7380 4.7380 4.7380
angles (deg): 60.00 60.00 60.00
Element x y z (fractional)
Nb: 0.0000 0.0000 0.0000
Ni: 0.1254 0.6249 0.6249
Ni: 0.6249 0.1254 0.6249
Ni: 0.6249 0.6249 0.1254
Ni: 0.6249 0.6249 0.6249
Pt: 0.2500 0.2500 0.2500

Summary:
As for the space group: No. 216. As for the formation energy: -0.3600 eV per atom. For the volume, the calculation gives 75.21 Å³ per cell.


8.
Below is a relaxed structure of Li6CdPd, with properties calculated at the PBE level.

a b c (Å): 5.7649 5.7649 4.6049
angles (deg): 90.00 90.00 120.00
Element x y z (fractional)
Li: 0.9995 0.4998 0.0000
Li: 0.1553 0.3106 0.5000
Li: 0.1553 0.8447 0.5000
Li: 0.5002 0.0005 0.0000
Li: 0.5002 0.4998 0.0000
Li: 0.6894 0.8447 0.5000
Cd: 0.6667 0.3333 0.5000
Pd: 0.0000 0.0000 0.0000

Summary:
As for the space group: No. 187. As for the formation energy: -0.2084 eV per atom. For the volume, the calculation gives 132.56 Å³ per cell.